(1)
## BaLiCo2 (PBE)

Data for a relaxed BaLiCo2 crystal.

CIF file:
```
data_BaLiCo2
_space_group_name_H-M_alt 'P m m 2'
_space_group_IT_number 25
_cell_length_a 3.224
_cell_length_b 3.247
_cell_length_c 7.965
_cell_angle_alpha 90.00
_cell_angle_beta 90.00
_cell_angle_gamma 90.00
loop_
_space_group_symop_operation_xyz
'x,y,z'
'-x,-y,z'
'-x,y,z'
'x,-y,z'
loop_
_atom_site_label
_atom_site_fract_x
_atom_site_fract_y
_atom_site_fract_z
Ba1 0.000 0.000 0.000
Li1 0.500 0.500 0.613
Co1 0.000 0.000 0.398
Co2 0.500 0.500 0.306
```

Calculated values
Calculated density (Mg/m³): 5.22
Energy (eV per atom): -4.07
Energy above the lowest structure with this stoichiometry (meV/atom): 189.2

---

(2)
## TaBr (PBE)

Data for a relaxed TaBr crystal.

CIF file:
```
data_TaBr
_space_group_name_H-M_alt 'P 63/m'
_space_group_IT_number 176
_space_group_name_Hall '-P 6c'
_cell_length_a 10.0380
_cell_length_b 10.0380
_cell_length_c 3.1129
_cell_angle_alpha 90.00
_cell_angle_beta 90.00
_cell_angle_gamma 120.00
loop_
_atom_site_label
_atom_site_fract_x
_atom_site_fract_y
_atom_site_fract_z
Ta1 0.1559 0.6277 0.2500
Br1 0.0363 0.3232 0.2500
```

Calculated values
Calculated density (Mg/m³): 9.57
Energy (eV per atom): -6.61

---

(3)
## As2RuBr (PBE)

Data for a relaxed As2RuBr crystal.

CIF file:
```
data_As2RuBr
_space_group_name_H-M_alt 'C m m m'
_space_group_IT_number 65
_space_group_name_Hall '-C 2 2'
_cell_length_a 5.064
_cell_length_b 9.872
_cell_length_c 3.139
_cell_angle_alpha 90.00
_cell_angle_beta 90.00
_cell_angle_gamma 90.00
loop_
_atom_site_label
_atom_site_fract_x
_atom_site_fract_y
_atom_site_fract_z
As1 0.000 0.197 0.000
Ru1 0.000 0.000 0.500
Br1 0.000 0.500 0.500
```

Calculated values
Calculated density (Mg/m³): 7.00
Energy (eV per atom): -5.06
Energy above the lowest structure with this stoichiometry (meV/atom): 78.1

---

(4)
## La2ZnPtPb (PBE)

Data for a relaxed La2ZnPtPb crystal.

CIF file:
```
data_La2ZnPtPb
_space_group_name_H-M_alt 'P 4/m m m'
_space_group_IT_number 123
_space_group_name_Hall '-P 4 2'
_cell_length_a 5.613
_cell_length_b 5.613
_cell_length_c 4.873
_cell_angle_alpha 90.00
_cell_angle_beta 90.00
_cell_angle_gamma 90.00
loop_
_atom_site_label
_atom_site_fract_x
_atom_site_fract_y
_atom_site_fract_z
La1 0.000 0.500 0.000
Zn1 0.000 0.000 0.500
Pt1 0.000 0.000 0.000
Pb1 0.500 0.500 0.500
```

Calculated values
Calculated density (Mg/m³): 8.06
Energy (eV per atom): -4.77
Energy above the lowest structure with this stoichiometry (meV/atom): 157.1

---

(5)
## CaPm2PrHg4 (PBE)

Data for a relaxed CaPm2PrHg4 crystal.

CIF file:
```
data_CaPm2PrHg4
_space_group_name_H-M_alt 'R -3 m'
_space_group_IT_number 166
_space_group_name_Hall '-R 3 2"'
_cell_length_a 5.3899
_cell_length_b 5.3899
_cell_length_c 26.5633
_cell_angle_alpha 90.00
_cell_angle_beta 90.00
_cell_angle_gamma 120.00
loop_
_atom_site_label
_atom_site_fract_x
_atom_site_fract_y
_atom_site_fract_z
Ca1 0.0000 0.0000 0.0000
Pm1 0.0000 0.0000 0.2528
Pr1 0.0000 0.0000 0.5000
Hg1 0.0000 0.0000 0.1243
Hg2 0.0000 0.0000 0.3752
```

Calculated values
Calculated density (Mg/m³): 9.49
Energy (eV per atom): -2.69

---

(6)
## MoAs3Cl (PBE)

Data for a relaxed MoAs3Cl crystal.

CIF file:
```
data_MoAs3Cl
_space_group_name_H-M_alt 'P m -3 m'
_space_group_IT_number 221
_space_group_name_Hall '-P 4 2 3'
_cell_length_a 4.757
_cell_length_b 4.757
_cell_length_c 4.757
_cell_angle_alpha 90.00
_cell_angle_beta 90.00
_cell_angle_gamma 90.00
loop_
_atom_site_label
_atom_site_fract_x
_atom_site_fract_y
_atom_site_fract_z
Mo1 0.000 0.000 0.000
As1 0.000 0.500 0.500
Cl1 0.500 0.500 0.500
```

Calculated values
Calculated density (Mg/m³): 5.49
Energy (eV per atom): -3.97
Energy above the lowest structure with this stoichiometry (meV/atom): 1116.3

---

Which of these has the highest calculated density?
TaBr